[1]
First-principles (PBE-GGA) data for BSbTe2Br after structural relaxation, as listed in Alexandria via LeMat-Bulk.

a = 4.864 Å, b = 4.864 Å, c = 5.204 Å
α = 90.00°, β = 90.00°, γ = 90.00°
Fractional coordinates of all 5 atoms:
B: 0.000 0.000 0.000
Sb: 0.000 0.000 0.500
Te: 0.000 0.500 0.000
Te: 0.500 0.000 0.000
Br: 0.500 0.500 0.500

Summary:
**E_form (uncorrected)**: 3.29 eV/f.u.
**M_tot**: 0.00 μB/cell
**Space group**: P4/mmm, No. 123
**E_tot**: -3.092 eV/atom

[2]
First-principles (PBE-GGA) data for BSb2TeBr after structural relaxation, as listed in Alexandria via LeMat-Bulk.

a = 5.014 Å, b = 5.014 Å, c = 4.865 Å
α = 90.00°, β = 90.00°, γ = 90.00°
Fractional coordinates of all 5 atoms:
B: 0.000 0.000 0.000
Sb: 0.000 0.500 0.000
Sb: 0.500 0.000 0.000
Te: 0.000 0.000 0.500
Br: 0.500 0.500 0.500

Summary:
**E_form (uncorrected)**: 3.29 eV/f.u.
**M_tot**: 0.00 μB/cell
**Space group**: P4/mmm, No. 123
**E_tot**: -3.289 eV/atom

[3]
First-principles (PBE-GGA) data for BSb2TeBr after structural relaxation, as listed in Alexandria via LeMat-Bulk.

a = 5.501 Å, b = 5.501 Å, c = 5.783 Å
α = 90.00°, β = 90.00°, γ = 90.00°
Fractional coordinates of all 5 atoms:
B: 0.000 0.000 0.000
Sb: 0.000 0.500 0.500
Sb: 0.500 0.000 0.500
Te: 0.500 0.500 0.000
Br: 0.500 0.500 0.500

Summary:
**E_form (uncorrected)**: 8.91 eV/f.u.
**M_tot**: 0.01 μB/cell
**Space group**: P4/mmm, No. 123
**E_tot**: -2.165 eV/atom

[4]
First-principles (PBE-GGA) data for BSbTe2Br after structural relaxation, as listed in Alexandria via LeMat-Bulk.

a = 5.689 Å, b = 5.689 Å, c = 5.524 Å
α = 90.00°, β = 90.00°, γ = 90.00°
Fractional coordinates of all 5 atoms:
B: 0.000 0.000 0.000
Sb: 0.500 0.500 0.000
Te: 0.000 0.500 0.500
Te: 0.500 0.000 0.500
Br: 0.500 0.500 0.500

Summary:
**E_form (uncorrected)**: 8.70 eV/f.u.
**M_tot**: 1.61 μB/cell
**Space group**: P4/mmm, No. 123
**E_tot**: -2.012 eV/atom

[5]
First-principles (PBE-GGA) data for ZnB2SbBr after structural relaxation, as listed in Alexandria via LeMat-Bulk.

a = 4.125 Å, b = 4.125 Å, c = 5.989 Å
α = 90.00°, β = 90.00°, γ = 90.00°
Fractional coordinates of all 5 atoms:
Zn: 0.000 0.000 0.000
B: 0.000 0.500 0.000
B: 0.500 0.000 0.000
Sb: 0.000 0.000 0.500
Br: 0.500 0.500 0.500

Summary:
**E_form (uncorrected)**: 6.69 eV/f.u.
**M_tot**: 0.00 μB/cell
**Space group**: P4/mmm, No. 123
**E_tot**: -2.746 eV/atom

[6]
First-principles (PBE-GGA) data for ScB2Br after structural relaxation, as listed in Alexandria via LeMat-Bulk.

a = 4.404 Å, b = 4.404 Å, c = 4.404 Å
α = 60.00°, β = 60.00°, γ = 60.00°
Fractional coordinates of all 4 atoms:
Sc: 0.000 0.000 0.000
B: 0.250 0.250 0.250
B: 0.750 0.750 0.750
Br: 0.500 0.500 0.500

Summary:
**E_form (uncorrected)**: 5.76 eV/f.u.
**M_tot**: 0.00 μB/cell
**Space group**: Fm-3m, No. 225
**E_tot**: -3.899 eV/atom

[7]
First-principles (PBE-GGA) data for ScBBr3 after structural relaxation, as listed in Alexandria via LeMat-Bulk.

a = 4.828 Å, b = 4.828 Å, c = 4.828 Å
α = 90.00°, β = 90.00°, γ = 90.00°
Fractional coordinates of all 5 atoms:
Sc: 0.000 0.000 0.000
B: 0.500 0.500 0.500
Br: 0.000 0.500 0.500
Br: 0.500 0.000 0.500
Br: 0.500 0.500 0.000

Summary:
**E_form (uncorrected)**: 1.24 eV/f.u.
**M_tot**: 1.15 μB/cell
**Space group**: Pm-3m, No. 221
**E_tot**: -3.358 eV/atom

[8]
First-principles (PBE-GGA) data for Sc3BBr3 after structural relaxation, as listed in Alexandria via LeMat-Bulk.

a = 9.235 Å, b = 9.235 Å, c = 9.235 Å
α = 109.47°, β = 109.47°, γ = 109.47°
Fractional coordinates of all 28 atoms:
Sc: 0.024 0.048 0.274
Sc: 0.024 0.476 0.750
Sc: 0.048 0.274 0.024
Sc: 0.226 0.274 0.750
Sc: 0.226 0.452 0.476
Sc: 0.274 0.024 0.048
Sc: 0.274 0.750 0.226
Sc: 0.452 0.476 0.226
Sc: 0.476 0.226 0.452
Sc: 0.476 0.750 0.024
Sc: 0.750 0.024 0.476
Sc: 0.750 0.226 0.274
B: 0.000 0.250 0.500
B: 0.250 0.250 0.250
B: 0.250 0.500 0.000
B: 0.500 0.000 0.250
Br: 0.250 0.755 0.745
Br: 0.250 0.995 0.505
Br: 0.505 0.250 0.995
Br: 0.505 0.755 0.510
Br: 0.510 0.505 0.755
Br: 0.745 0.250 0.755
Br: 0.745 0.995 0.990
Br: 0.755 0.510 0.505
Br: 0.755 0.745 0.250
Br: 0.990 0.745 0.995
Br: 0.995 0.505 0.250
Br: 0.995 0.990 0.745

Summary:
**E_form (uncorrected)**: -8.51 eV/f.u.
**M_tot**: 0.00 μB/cell
**Space group**: I4_132, No. 214
**E_tot**: -5.600 eV/atom

[9]
First-principles (PBE-GGA) data for ScBBr3 after structural relaxation, as listed in Alexandria via LeMat-Bulk.

a = 5.307 Å, b = 5.307 Å, c = 5.307 Å
α = 90.00°, β = 90.00°, γ = 90.00°
Fractional coordinates of all 5 atoms:
Sc: 0.000 0.000 0.000
B: 0.500 0.500 0.500
Br: 0.000 0.000 0.500
Br: 0.000 0.500 0.000
Br: 0.500 0.000 0.000

Summary:
**E_form (uncorrected)**: -0.25 eV/f.u.
**M_tot**: 0.93 μB/cell
**Space group**: Pm-3m, No. 221
**E_tot**: -3.656 eV/atom

[10]
First-principles (PBE-GGA) data for ScB2Br after structural relaxation, as listed in Alexandria via LeMat-Bulk.

a = 5.500 Å, b = 5.500 Å, c = 5.500 Å
α = 114.38°, β = 114.38°, γ = 100.04°
Fractional coordinates of all 8 atoms:
Sc: 0.000 0.000 0.000
Sc: 0.750 0.250 0.500
B: 0.170 0.625 0.045
B: 0.375 0.420 0.545
B: 0.580 0.125 0.955
B: 0.875 0.830 0.455
Br: 0.250 0.750 0.500
Br: 0.500 0.500 0.000

Summary:
**E_form (uncorrected)**: 4.57 eV/f.u.
**M_tot**: 0.00 μB/cell
**Space group**: I-42d, No. 122
**E_tot**: -4.196 eV/atom

[11]
First-principles (PBE-GGA) data for ScBSe2Br after structural relaxation, as listed in Alexandria via LeMat-Bulk.

a = 4.604 Å, b = 4.604 Å, c = 4.518 Å
α = 90.00°, β = 90.00°, γ = 90.00°
Fractional coordinates of all 5 atoms:
Sc: 0.000 0.000 0.000
B: 0.500 0.500 0.500
Se: 0.000 0.500 0.500
Se: 0.500 0.000 0.500
Br: 0.500 0.500 0.000

Summary:
**E_form (uncorrected)**: 0.12 eV/f.u.
**M_tot**: 0.00 μB/cell
**Space group**: P4/mmm, No. 123
**E_tot**: -4.306 eV/atom

[12]
First-principles (PBE-GGA) data for ScBSe2Br after structural relaxation, as listed in Alexandria via LeMat-Bulk.

a = 5.165 Å, b = 5.165 Å, c = 5.282 Å
α = 90.00°, β = 90.00°, γ = 90.00°
Fractional coordinates of all 5 atoms:
Sc: 0.000 0.000 0.000
B: 0.500 0.500 0.500
Se: 0.000 0.500 0.000
Se: 0.500 0.000 0.000
Br: 0.000 0.000 0.500

Summary:
**E_form (uncorrected)**: 1.46 eV/f.u.
**M_tot**: 0.00 μB/cell
**Space group**: P4/mmm, No. 123
**E_tot**: -4.038 eV/atom

[13]
First-principles (PBE-GGA) data for ScBSeBr2 after structural relaxation, as listed in Alexandria via LeMat-Bulk.

a = 4.658 Å, b = 4.658 Å, c = 4.700 Å
α = 90.00°, β = 90.00°, γ = 90.00°
Fractional coordinates of all 5 atoms:
Sc: 0.000 0.000 0.000
B: 0.500 0.500 0.500
Se: 0.500 0.500 0.000
Br: 0.000 0.500 0.500
Br: 0.500 0.000 0.500

Summary:
**E_form (uncorrected)**: 0.65 eV/f.u.
**M_tot**: 0.69 μB/cell
**Space group**: P4/mmm, No. 123
**E_tot**: -3.839 eV/atom

[14]
First-principles (PBE-GGA) data for ScBSeBr2 after structural relaxation, as listed in Alexandria via LeMat-Bulk.

a = 5.241 Å, b = 5.241 Å, c = 5.270 Å
α = 90.00°, β = 90.00°, γ = 90.00°
Fractional coordinates of all 5 atoms:
Sc: 0.000 0.000 0.000
B: 0.500 0.500 0.500
Se: 0.000 0.000 0.500
Br: 0.000 0.500 0.000
Br: 0.500 0.000 0.000

Summary:
**E_form (uncorrected)**: 0.23 eV/f.u.
**M_tot**: 0.00 μB/cell
**Space group**: P4/mmm, No. 123
**E_tot**: -3.922 eV/atom

[15]
First-principles (PBE-GGA) data for ScB2TeBr after structural relaxation, as listed in Alexandria via LeMat-Bulk.

a = 4.337 Å, b = 4.337 Å, c = 5.271 Å
α = 90.00°, β = 90.00°, γ = 90.00°
Fractional coordinates of all 5 atoms:
Sc: 0.000 0.000 0.000
B: 0.000 0.500 0.500
B: 0.500 0.000 0.500
Te: 0.500 0.500 0.000
Br: 0.000 0.000 0.500

Summary:
**E_form (uncorrected)**: 6.75 eV/f.u.
**M_tot**: 0.00 μB/cell
**Space group**: P4/mmm, No. 123
**E_tot**: -3.551 eV/atom

[16]
First-principles (PBE-GGA) data for ZrSc2BBr after structural relaxation, as listed in Alexandria via LeMat-Bulk.

a = 5.317 Å, b = 5.317 Å, c = 5.022 Å
α = 90.00°, β = 90.00°, γ = 90.00°
Fractional coordinates of all 5 atoms:
Zr: 0.000 0.000 0.000
Sc: 0.000 0.500 0.000
Sc: 0.500 0.000 0.000
B: 0.500 0.500 0.500
Br: 0.000 0.000 0.500

Summary:
**E_form (uncorrected)**: 6.92 eV/f.u.
**M_tot**: 0.00 μB/cell
**Space group**: P4/mmm, No. 123
**E_tot**: -4.528 eV/atom

[17]
First-principles (PBE-GGA) data for BSeBr after structural relaxation, as listed in Alexandria via LeMat-Bulk.

a = 3.281 Å, b = 7.150 Å, c = 9.859 Å
α = 69.65°, β = 80.82°, γ = 77.29°
Fractional coordinates of all 6 atoms:
B: 0.134 0.466 0.273
B: 0.866 0.534 0.727
Se: 0.307 0.706 0.679
Se: 0.693 0.294 0.321
Br: 0.035 0.752 0.194
Br: 0.965 0.248 0.806

Summary:
**E_form (uncorrected)**: -0.66 eV/f.u.
**M_tot**: 0.00 μB/cell
**Space group**: P-1, No. 2
**E_tot**: -4.165 eV/atom

[18]
First-principles (PBE-GGA) data for B2Se2Br after structural relaxation, as listed in Alexandria via LeMat-Bulk.

a = 8.870 Å, b = 8.870 Å, c = 3.234 Å
α = 90.00°, β = 90.00°, γ = 90.00°
Fractional coordinates of all 10 atoms:
B: 0.216 0.284 0.000
B: 0.284 0.784 0.000
B: 0.716 0.216 0.000
B: 0.784 0.716 0.000
Se: 0.133 0.367 0.500
Se: 0.367 0.867 0.500
Se: 0.633 0.133 0.500
Se: 0.867 0.633 0.500
Br: 0.000 0.000 0.000
Br: 0.500 0.500 0.000

Summary:
**E_form (uncorrected)**: 4.03 eV/f.u.
**M_tot**: 2.85 μB/cell
**Space group**: P4/mbm, No. 127
**E_tot**: -3.593 eV/atom

[19]
First-principles (PBE-GGA) data for BSeBr after structural relaxation, as listed in Alexandria via LeMat-Bulk.

a = 3.412 Å, b = 3.412 Å, c = 7.328 Å
α = 98.69°, β = 94.08°, γ = 120.00°
Fractional coordinates of all 3 atoms:
B: 0.000 0.000 0.000
Se: 0.387 0.735 0.129
Br: 0.886 0.856 0.731

Summary:
**E_form (uncorrected)**: -0.57 eV/f.u.
**M_tot**: 0.00 μB/cell
**Space group**: P1, No. 1
**E_tot**: -4.137 eV/atom

[20]
First-principles (PBE-GGA) data for B3SeBr after structural relaxation, as listed in Alexandria via LeMat-Bulk.

a = 4.323 Å, b = 4.323 Å, c = 4.323 Å
α = 90.00°, β = 90.00°, γ = 90.00°
Fractional coordinates of all 5 atoms:
B: 0.000 0.000 0.500
B: 0.000 0.500 0.000
B: 0.500 0.000 0.000
Se: 0.000 0.000 0.000
Br: 0.500 0.500 0.500

Summary:
**E_form (uncorrected)**: 10.39 eV/f.u.
**M_tot**: 0.00 μB/cell
**Space group**: Pm-3m, No. 221
**E_tot**: -2.959 eV/atom